Record 1
Crystalline LiP2SeO at its relaxed geometry, computed with PBE.

a = 4.607 Å, b = 4.607 Å, c = 3.393 Å
α = 90.00°, β = 90.00°, γ = 90.00°
Fractional positions:
Li 0.000 0.000 0.000
P 0.000 0.500 0.000
P 0.500 0.000 0.000
Se 0.500 0.500 0.500
O 0.000 0.000 0.500

Computed properties:
As for the uncorrected energy: -0.2764 Ry per atom. The calculation puts the energy above the most stable polymorph in this dataset at 63 meV/atom. The formation energy (no corrections) is 0.4743 eV/atom. As for the crystal system: tetragonal.



Record 2
Crystalline LiSiPO2 at its relaxed geometry, computed with PBE.

a = 3.555 Å, b = 3.555 Å, c = 4.631 Å
α = 90.00°, β = 90.00°, γ = 90.00°
Fractional positions:
Li 0.000 0.000 0.000
Si 0.500 0.500 0.500
P 0.000 0.000 0.500
O 0.000 0.500 0.000
O 0.500 0.000 0.000

Computed properties:
As for the uncorrected energy: -0.3140 Ry per atom. The calculation puts the energy above the most stable polymorph in this dataset at 1245 meV/atom. The formation energy (no corrections) is 0.2604 eV/atom. As for the crystal system: tetragonal.



Record 3
Crystalline LiSiPO2 at its relaxed geometry, computed with PBE.

a = 3.410 Å, b = 3.410 Å, c = 5.276 Å
α = 90.00°, β = 90.00°, γ = 90.00°
Fractional positions:
Li 0.000 0.000 0.000
Si 0.500 0.500 0.500
P 0.500 0.500 0.000
O 0.000 0.500 0.500
O 0.500 0.000 0.500

Computed properties:
As for the uncorrected energy: -0.4055 Ry per atom. The calculation puts the energy above the most stable polymorph in this dataset at 0 meV/atom. The formation energy (no corrections) is -0.9846 eV/atom. As for the crystal system: tetragonal.



Record 4
Crystalline LiSm2PO6 at its relaxed geometry, computed with PBE.

a = 5.119 Å, b = 5.119 Å, c = 4.351 Å
α = 90.00°, β = 90.00°, γ = 90.00°
Fractional positions:
Li 0.000 0.000 0.000
Sm 0.000 0.500 0.451
Sm 0.500 0.000 0.451
P 0.500 0.500 0.011
O 0.000 0.000 0.551
O 0.277 0.277 0.100
O 0.277 0.723 0.100
O 0.500 0.500 0.642
O 0.723 0.277 0.100
O 0.723 0.723 0.100

Computed properties:
As for the uncorrected energy: -0.5426 Ry per atom. The formation energy (no corrections) is -2.7313 eV/atom. As for the crystal system: tetragonal.



Among the records above, which one has the lowest uncorrected energy? LiSm2PO6